# 1
Compound: TlHg2Ru
Source: Alexandria via LeMat-Bulk
Functional: GGA-PBE
Structure: relaxed

DOS(E_F) ... 2.97 states/eV/f.u.
Energy above the lowest structure with this stoichiometry ... 7.46 kcal/mol of atoms

a b c (Å): 4.9247 4.9247 4.9247
angles (deg): 60.00 60.00 60.00
Last column: nearest neighbours and their distance in Å.
Atoms (fractional coordinates):
Hg (0.2500, 0.2500, 0.2500)  4 Hg 3.02, 4 Ru 3.02
Hg (0.0000, 0.0000, 0.0000)  4 Tl 3.02, 4 Hg 3.02
Tl (0.7500, 0.7500, 0.7500)  4 Ru 3.02, 4 Hg 3.02
Ru (0.5000, 0.5000, 0.5000)  4 Hg 3.02, 4 Tl 3.02

# 2
Compound: CaPCl2
Source: Alexandria via LeMat-Bulk
Functional: GGA-PBE
Structure: relaxed

DOS(E_F) ... 1.27 states/eV/f.u.
Formation energy without anion corrections ... -887 meV per atom
Energy above the lowest structure with this stoichiometry ... 3.99 kcal/mol of atoms

a b c (Å): 11.4727 11.4727 11.4727
angles (deg): 19.07 19.07 19.07
Last column: nearest neighbours and their distance in Å.
Atoms (fractional coordinates):
P (0.0000, 0.0000, 0.0000)  6 P 3.80, 2 Cl 4.06
Cl (0.8797, 0.8797, 0.8797)  3 Ca 2.70
Cl (0.1203, 0.1203, 0.1203)  3 Ca 2.70
Ca (0.5000, 0.5000, 0.5000)  6 Cl 2.70

# 3
Compound: K3GaGe
Source: Alexandria via LeMat-Bulk
Functional: GGA-PBE
Structure: relaxed

DOS(E_F) ... 3.60 states/eV/f.u.
Energy above the lowest structure with this stoichiometry ... 0.00 kcal/mol of atoms

a b c (Å): 8.8911 8.8911 7.7441
angles (deg): 111.80 119.29 104.50
Last column: nearest neighbours and their distance in Å.
Atoms (fractional coordinates):
K (0.1801, 0.4191, 0.2073)  2 Ge 3.65-3.87, 2 Ga 3.74-3.79, 2 K 3.94-3.97
K (0.2119, 0.9728, 0.7927)  2 Ge 3.65-3.87, 2 Ga 3.74-3.79, 2 K 3.94-3.97
K (0.7881, 0.0272, 0.2073)  2 Ge 3.65-3.87, 2 Ga 3.74-3.79, 2 K 3.94-3.97
K (0.7142, 0.4776, 0.1918)  1 Ge 3.35, 1 Ga 3.57, 1 K 3.75
K (0.2858, 0.5224, 0.8082)  1 Ge 3.35, 1 Ga 3.57, 1 K 3.75
K (0.8199, 0.5809, 0.7927)  2 Ge 3.65-3.87, 2 Ga 3.74-3.79, 2 K 3.94-3.97
Ga (0.3266, 0.1518, 0.4785)  2 Ge 2.58-2.66
Ga (0.6734, 0.8482, 0.5215)  2 Ge 2.58-2.66
Ge (0.6257, 0.1093, 0.7350)  1 Ge 2.57, 2 Ga 2.58-2.66
Ge (0.3743, 0.8907, 0.2650)  1 Ge 2.57, 2 Ga 2.58-2.66

# 4
Compound: TcHPd2Pt
Source: Alexandria via LeMat-Bulk
Functional: GGA-PBE
Structure: relaxed

DOS(E_F) ... 5.79 states/eV/f.u.
E_tot ... -5.9118 eV per atom

a b c (Å): 3.9745 3.9745 3.9889
angles (deg): 90.00 90.00 90.00
Last column: nearest neighbours and their distance in Å.
Atoms (fractional coordinates):
Pd (0.0000, 0.5000, 0.0000)  2 H 1.99
Pd (0.5000, 0.0000, 0.0000)  2 H 1.99
H (0.0000, 0.0000, 0.0000)  4 Pd 1.99, 2 Tc 1.99
Tc (0.0000, 0.0000, 0.5000)  2 H 1.99
Pt (0.5000, 0.5000, 0.5000)  4 Tc 2.81, 8 Pd 2.82